First-principles (PBE) data for crystalline Ho5Te5S2 at its relaxed geometry, as listed in the Alexandria database.

Computed properties:
SG = C2/m (12)
calculated volume = 346.41 Å³ per cell
D(E_F) = 0.1894 states/eV/atom
formation energy from raw total energies = -1540 meV per atom

Cell: 7.279 7.279 12.410 Å, 105.09 105.09 33.19°
Element x y z (fractional)
Ho 0.000 0.000 0.000
Ho 0.105 0.105 0.398
Ho 0.325 0.325 0.198
Ho 0.675 0.675 0.802
Ho 0.895 0.895 0.602
Te 0.248 0.248 0.644
Te 0.335 0.335 0.946
Te 0.500 0.500 0.500
Te 0.665 0.665 0.054
Te 0.752 0.752 0.356
S 0.040 0.040 0.794
S 0.960 0.960 0.206

---

First-principles (PBE) data for crystalline Ho2TeS2 at its relaxed geometry, as listed in the Alexandria database.

Computed properties:
SG = C2/c (15)
calculated volume = 273.99 Å³ per cell
D(E_F) = 0.0000 states/eV/atom
ΔE to the lowest computed polymorph = 131 meV/atom
formation energy from raw total energies = -1730 meV per atom

Cell: 7.039 7.039 6.668 Å, 111.00 111.00 98.03°
Element x y z (fractional)
Ho 0.088 0.912 0.750
Ho 0.324 0.676 0.250
Ho 0.676 0.324 0.750
Ho 0.912 0.088 0.250
Te 0.372 0.628 0.750
Te 0.628 0.372 0.250
S 0.051 0.276 0.025
S 0.276 0.051 0.525
S 0.724 0.949 0.475
S 0.949 0.724 0.975

---

First-principles (PBE) data for crystalline Ho2TeS at its relaxed geometry, as listed in the Alexandria database.

Computed properties:
SG = Pmna (53)
calculated volume = 407.54 Å³ per cell
D(E_F) = 0.4437 states/eV/atom
ΔE to the lowest computed polymorph = 139 meV/atom
formation energy from raw total energies = -1520 meV per atom

Cell: 5.697 6.279 11.393 Å, 90.00 90.00 90.00°
Element x y z (fractional)
Ho 0.000 0.185 0.136
Ho 0.000 0.192 0.608
Ho 0.000 0.808 0.392
Ho 0.000 0.815 0.864
Ho 0.500 0.185 0.364
Ho 0.500 0.192 0.892
Ho 0.500 0.808 0.108
Ho 0.500 0.815 0.636
Te 0.000 0.310 0.871
Te 0.000 0.690 0.129
Te 0.500 0.310 0.629
Te 0.500 0.690 0.371
S 0.000 0.242 0.371
S 0.000 0.758 0.629
S 0.500 0.242 0.129
S 0.500 0.758 0.871

---

First-principles (PBE) data for crystalline Ho5TeS4 at its relaxed geometry, as listed in the Alexandria database.

Computed properties:
SG = C2/m (12)
calculated volume = 222.55 Å³ per cell
D(E_F) = 0.4869 states/eV/atom
formation energy from raw total energies = -1795 meV per atom

Cell: 6.928 6.928 9.777 Å, 118.46 118.46 33.13°
Element x y z (fractional)
Ho 0.000 0.000 0.000
Ho 0.212 0.212 0.820
Ho 0.384 0.384 0.614
Ho 0.616 0.616 0.386
Ho 0.788 0.788 0.180
Te 0.000 0.000 0.500
S 0.206 0.206 0.292
S 0.408 0.408 0.107
S 0.592 0.592 0.893
S 0.794 0.794 0.708

---

First-principles (PBE) data for crystalline Ho4Te3S4 at its relaxed geometry, as listed in the Alexandria database.

Computed properties:
SG = Immm (71)
calculated volume = 266.77 Å³ per cell
D(E_F) = 0.6877 states/eV/atom
formation energy from raw total energies = -1451 meV per atom

Cell: 9.117 9.117 9.117 Å, 154.31 125.13 61.54°
Element x y z (fractional)
Ho 0.231 0.231 0.000
Ho 0.276 0.500 0.776
Ho 0.724 0.500 0.224
Ho 0.769 0.769 0.000
Te 0.000 0.000 0.000
Te 0.394 0.894 0.500
Te 0.606 0.106 0.500
S 0.026 0.331 0.695
S 0.365 0.669 0.695
S 0.635 0.331 0.305
S 0.974 0.669 0.305

---

First-principles (PBE) data for crystalline Ho2TeS at its relaxed geometry, as listed in the Alexandria database.

Computed properties:
SG = R3m (160)
calculated volume = 293.97 Å³ per cell
D(E_F) = 0.0562 states/eV/atom
ΔE to the lowest computed polymorph = 0 meV/atom
formation energy from raw total energies = -1659 meV per atom

Cell: 3.994 3.994 21.281 Å, 90.00 90.00 120.00°
Element x y z (fractional)
Ho 0.000 0.000 0.000
Ho 0.000 0.000 0.195
Ho 0.333 0.667 0.667
Ho 0.333 0.667 0.862
Ho 0.667 0.333 0.333
Ho 0.667 0.333 0.528
Te 0.000 0.000 0.765
Te 0.333 0.667 0.431
Te 0.667 0.333 0.098
S 0.000 0.000 0.595
S 0.333 0.667 0.262
S 0.667 0.333 0.929

---

First-principles (PBE) data for crystalline Ho3Te5S12 at its relaxed geometry, as listed in the Alexandria database.

Computed properties:
SG = Ia-3d (230)
calculated volume = 2106.40 Å³ per cell
D(E_F) = 0.4810 states/eV/atom
formation energy from raw total energies = -425 meV per atom

Cell: 13.987 13.987 13.987 Å, 109.47 109.47 109.47°
Element x y z (fractional)
Ho 0.125 0.250 0.375
Ho 0.125 0.375 0.750
Ho 0.250 0.375 0.125
Ho 0.250 0.875 0.625
Ho 0.375 0.125 0.250
Ho 0.375 0.750 0.125
Ho 0.625 0.250 0.875
Ho 0.625 0.875 0.750
Ho 0.750 0.125 0.375
Ho 0.750 0.625 0.875
Ho 0.875 0.625 0.250
Ho 0.875 0.750 0.625
Te 0.000 0.000 0.000
Te 0.000 0.000 0.500
Te 0.000 0.500 0.000
Te 0.000 0.500 0.500
Te 0.125 0.750 0.875
Te 0.125 0.875 0.250
Te 0.250 0.125 0.875
Te 0.250 0.625 0.375
Te 0.375 0.250 0.625
Te 0.375 0.625 0.750
Te 0.500 0.000 0.000
Te 0.500 0.000 0.500
Te 0.500 0.500 0.000
Te 0.500 0.500 0.500
Te 0.625 0.375 0.250
Te 0.625 0.750 0.375
Te 0.750 0.375 0.625
Te 0.750 0.875 0.125
Te 0.875 0.125 0.750
Te 0.875 0.250 0.125
S 0.060 0.225 0.148
S 0.060 0.335 0.912
S 0.077 0.725 0.665
S 0.077 0.852 0.412
S 0.088 0.648 0.423
S 0.088 0.940 0.665
S 0.148 0.060 0.225
S 0.148 0.588 0.923
S 0.165 0.225 0.577
S 0.165 0.440 0.588
S 0.225 0.148 0.060
S 0.225 0.577 0.165
S 0.275 0.335 0.923
S 0.275 0.440 0.352
S 0.335 0.912 0.060
S 0.335 0.923 0.275
S 0.352 0.275 0.440
S 0.352 0.577 0.912
S 0.412 0.077 0.852
S 0.412 0.835 0.560
S 0.423 0.088 0.648
S 0.423 0.835 0.775
S 0.440 0.352 0.275
S 0.440 0.588 0.165
S 0.560 0.412 0.835
S 0.560 0.648 0.725
S 0.577 0.165 0.225
S 0.577 0.912 0.352
S 0.588 0.165 0.440
S 0.588 0.923 0.148
S 0.648 0.423 0.088
S 0.648 0.725 0.560
S 0.665 0.077 0.725
S 0.665 0.088 0.940
S 0.725 0.560 0.648
S 0.725 0.665 0.077
S 0.775 0.423 0.835
S 0.775 0.852 0.940
S 0.835 0.560 0.412
S 0.835 0.775 0.423
S 0.852 0.412 0.077
S 0.852 0.940 0.775
S 0.912 0.060 0.335
S 0.912 0.352 0.577
S 0.923 0.148 0.588
S 0.923 0.275 0.335
S 0.940 0.665 0.088
S 0.940 0.775 0.852

---

First-principles (PBE) data for crystalline Ho10Te7S10 at its relaxed geometry, as listed in the Alexandria database.

Computed properties:
SG = P1 (1)
calculated volume = 754.81 Å³ per cell
D(E_F) = 0.0000 states/eV/atom
formation energy from raw total energies = -1731 meV per atom

Cell: 7.624 9.623 11.405 Å, 91.01 102.83 111.46°
Element x y z (fractional)
Ho 0.000 0.000 0.000
Ho 0.044 0.422 0.868
Ho 0.174 0.212 0.599
Ho 0.249 0.605 0.463
Ho 0.379 0.395 0.194
Ho 0.423 0.817 0.062
Ho 0.597 0.612 0.806
Ho 0.650 0.005 0.668
Ho 0.773 0.812 0.394
Ho 0.826 0.205 0.256
Te 0.061 0.757 0.823
Te 0.211 0.908 0.532
Te 0.363 0.060 0.239
Te 0.468 0.165 0.021
Te 0.593 0.289 0.764
Te 0.830 0.527 0.299
Te 0.955 0.652 0.041
S 0.009 0.273 0.070
S 0.021 0.143 0.790
S 0.211 0.328 0.387
S 0.212 0.489 0.675
S 0.402 0.674 0.272
S 0.414 0.544 0.992
S 0.620 0.884 0.877
S 0.624 0.729 0.588
S 0.798 0.088 0.474
S 0.803 0.933 0.185

---

First-principles (PBE) data for crystalline Ho5Te4S at its relaxed geometry, as listed in the Alexandria database.

Computed properties:
SG = I4/mmm (139)
calculated volume = 273.82 Å³ per cell
D(E_F) = 0.3299 states/eV/atom
formation energy from raw total energies = -1382 meV per atom

Cell: 16.046 16.046 16.046 Å, 165.08 165.08 21.16°
Element x y z (fractional)
Ho 0.000 0.000 0.000
Ho 0.214 0.214 0.000
Ho 0.418 0.418 0.000
Ho 0.582 0.582 0.000
Ho 0.786 0.786 0.000
Te 0.101 0.101 0.000
Te 0.312 0.312 0.000
Te 0.688 0.688 0.000
Te 0.899 0.899 0.000
S 0.500 0.500 0.000